A plane-wave DFT calculation with PBE-GGA was carried out for an optimized crystal structure of PaVC2.

Properties
The formation enthalpy at 0 K comes out at -0.490 eV per atom. Its spin magnetization is 0.00 μB/f.u. As for the total energy: -9.76 eV per atom. The space group is Pnma (62). For the energy above the lowest structure with this stoichiometry, the calculation gives 0.0 meV/atom.

a b c (Å): 3.3176 5.6414 10.7912
angles (deg): 90.00 90.00 90.00
Atoms (fractional coordinates):
Pa 0.7500 0.5825 0.3585
V 0.7500 0.4188 0.8982
V 0.2500 0.5812 0.1018
C 0.2500 0.7754 0.5130
C 0.7500 0.1655 0.7525
C 0.2500 0.3345 0.2525
C 0.7500 0.2246 0.4870
C 0.2500 0.2754 0.9870
V 0.7500 0.9188 0.6018
Pa 0.2500 0.4175 0.6415
Pa 0.7500 0.0825 0.1415
C 0.7500 0.7246 0.0130
C 0.2500 0.8345 0.2475
C 0.7500 0.6655 0.7475
V 0.2500 0.0812 0.3982
Pa 0.2500 0.9175 0.8585